VASP calculation (PBE-GGA) on a geometry-optimized Li2NiIrW structure.

The structure belongs to space group P4/mmm (No. 123); the cell edges are 4.3326, 4.3326 and 4.7799 Å and the angles 90.00°, 90.00° and 90.00°. Symmetry generates all atoms from Li at (0.0000, 0.5000, 0.0000), Ni at (0.0000, 0.0000, 0.5000), Ir at (0.5000, 0.5000, 0.0000) and W at (0.5000, 0.5000, 0.5000).

For the total energy, the calculation gives -25.743 eV per cell. The value obtained for the density of states at the Fermi level is 1.295 states/eV per atom.

***

VASP calculation (PBE-GGA) on a geometry-optimized PrHoSnHg structure.

The structure belongs to space group Amm2 (No. 38); the cell edges are 4.4714, 4.4562 and 11.6617 Å and the angles 90.00°, 90.00° and 90.00°. Symmetry generates all atoms from Pr at (0.0000, 0.0000, 0.0000), Ho at (0.5000, 0.0000, 0.7232), Sn at (0.0000, 0.0000, 0.2747) and Hg at (0.5000, 0.0000, 0.4486).

For the total energy, the calculation gives -31.926 eV per cell. The value obtained for the density of states at the Fermi level is 1.057 states/eV per atom.

***

VASP calculation (PBE-GGA) on a geometry-optimized Na2TiCuSe4 structure.

The structure belongs to space group P2/m (No. 10); the cell edges are 7.0133, 3.7012 and 7.3569 Å and the angles 90.00°, 112.01° and 90.00°. Symmetry generates all atoms from Na at (0.0000, 0.0000, 0.0000), Na at (0.5000, 0.5000, 0.0000), Ti at (0.0000, 0.5000, 0.5000), Cu at (0.5000, 0.0000, 0.5000), Se at (0.2069, 0.0000, 0.7309) and Se at (0.2717, 0.5000, 0.3271).

Its formation energy from raw total energies is -0.83 eV/atom. The value obtained for the density of states at the Fermi level is 0.500 states/eV per atom.